DFT (PBE) results for an optimized crystal structure of Nd4Bi2Te.

Cell: 8.3281 8.3281 8.3281 Å, 109.73 109.73 108.96°
Closest atoms and distances in Å follow each position.
Atoms (fractional coordinates):
Nd 0.1192 0.2296 0.7452  2 Te 3.16-3.47, 4 Bi 3.22-3.46
Nd 0.1240 0.7344 0.7548  2 Te 3.16-3.47, 4 Bi 3.22-3.46
Nd 0.2656 0.0204 0.3896  2 Te 3.16-3.47, 4 Bi 3.22-3.46
Nd 0.4844 0.3740 0.2548  2 Te 3.16-3.47, 4 Bi 3.22-3.46
Nd 0.6260 0.8808 0.1104  2 Te 3.16-3.47, 4 Bi 3.22-3.46
Nd 0.6308 0.8760 0.6104  2 Te 3.16-3.47, 4 Bi 3.22-3.46
Nd 0.7704 0.5156 0.8896  2 Te 3.16-3.47, 4 Bi 3.22-3.46
Nd 0.9796 0.3692 0.2452  2 Te 3.16-3.47, 4 Bi 3.22-3.46
Bi 0.2537 0.6250 0.1287  8 Nd 3.22-3.46
Bi 0.3750 0.5037 0.6287  8 Nd 3.22-3.46
Bi 0.4963 0.1250 0.8713  8 Nd 3.22-3.46
Bi 0.8750 0.7463 0.3713  8 Nd 3.22-3.46
Te 0.0000 0.0000 0.0000  8 Nd 3.16-3.47
Te 0.7500 0.2500 0.5000  8 Nd 3.16-3.47

Properties
- Energy relative to the elements, uncorrected: -0.96 eV per atom
- Fermi-level density of states: 7.86 states/eV/f.u.
- Calculated volume: 31.8 Å³ per atom

DFT (PBE) results for an optimized crystal structure of Nd3BiTe6.

Cell: 9.8198 9.8198 7.7322 Å, 90.00 90.00 102.94°
Closest atoms and distances in Å follow each position.
Atoms (fractional coordinates):
Nd 0.0916 0.9084 0.5000  7 Te 3.21-3.31
Nd 0.2195 0.4169 0.3834  7 Te 3.16-3.37
Nd 0.4169 0.2195 0.8834  7 Te 3.16-3.37
Nd 0.5831 0.7805 0.3834  7 Te 3.16-3.37
Nd 0.7805 0.5831 0.8834  7 Te 3.16-3.37
Nd 0.9084 0.0916 0.0000  7 Te 3.21-3.31
Bi 0.3221 0.6779 0.8701  4 Te 2.98-3.27
Bi 0.6779 0.3221 0.3701  4 Te 2.98-3.27
Te 0.0618 0.5955 0.6618  1 Bi 2.98, 2 Nd 3.23-3.27
Te 0.1281 0.2040 0.6960  4 Nd 3.16-3.22
Te 0.2040 0.1281 0.1960  4 Nd 3.16-3.22
Te 0.2657 0.7343 0.2483  1 Bi 3.05, 3 Nd 3.22-3.31
Te 0.4045 0.9382 0.6618  1 Bi 2.98, 2 Nd 3.23-3.27
Te 0.4962 0.5038 0.6264  4 Nd 3.26-3.37, 2 Bi 3.27-3.42
Te 0.5038 0.4962 0.1264  4 Nd 3.26-3.37, 2 Bi 3.27-3.42
Te 0.5955 0.0618 0.1618  1 Bi 2.98, 2 Nd 3.23-3.27
Te 0.7343 0.2657 0.7483  1 Bi 3.05, 3 Nd 3.22-3.31
Te 0.7960 0.8719 0.6960  4 Nd 3.16-3.22
Te 0.8719 0.7960 0.1960  4 Nd 3.16-3.22
Te 0.9382 0.4045 0.1618  1 Bi 2.98, 2 Nd 3.23-3.27

Properties
- Energy relative to the elements, uncorrected: -1.09 eV per atom
- Fermi-level density of states: 0.00 states/eV/f.u.
- Calculated volume: 36.3 Å³ per atom

DFT (PBE) results for an optimized crystal structure of NdBi2Te4.

Cell: 7.5915 7.5915 14.7987 Å, 90.00 90.00 144.17°
Closest atoms and distances in Å follow each position.
Atoms (fractional coordinates):
Nd 0.1242 0.8758 0.7500  6 Te 3.17-3.33
Nd 0.8758 0.1242 0.2500  6 Te 3.17-3.33
Bi 0.3715 0.6285 0.5642  6 Te 3.10-3.28
Bi 0.3715 0.6285 0.9358  6 Te 3.10-3.28
Bi 0.6285 0.3715 0.0642  6 Te 3.10-3.28
Bi 0.6285 0.3715 0.4358  6 Te 3.10-3.28
Te 0.0000 0.0000 0.0000  4 Bi 3.13
Te 0.0000 0.0000 0.5000  4 Bi 3.13
Te 0.2758 0.7242 0.1230  3 Bi 3.10-3.28, 2 Nd 3.33
Te 0.2758 0.7242 0.3770  3 Bi 3.10-3.28, 2 Nd 3.33
Te 0.4756 0.5244 0.7500  2 Bi 3.13, 2 Nd 3.17
Te 0.5244 0.4756 0.2500  2 Bi 3.13, 2 Nd 3.17
Te 0.7242 0.2758 0.6230  3 Bi 3.10-3.28, 2 Nd 3.33
Te 0.7242 0.2758 0.8770  3 Bi 3.10-3.28, 2 Nd 3.33

Properties
- Energy relative to the elements, uncorrected: -0.53 eV per atom
- Fermi-level density of states: 2.92 states/eV/f.u.
- Calculated volume: 35.7 Å³ per atom